Here is a relaxed structure of Al2VBO6 from Alexandria via LeMat-Bulk. Energies are from PBE with a Hubbard U.

Energy in eV per atom: -7.636
V in A^3/atom: 10.04
Magnetization in μB/atom: 0.20
Crystal system: monoclinic

```
data_Al2VBO6
_chemical_formula_sum 'Al4 V2 B2 O12'
_symmetry_space_group_name_H-M 'P 1'
_symmetry_Int_Tables_number 1
_symmetry_space_group_name_Hall 'P 1'
_cell_length_a 5.1603
_cell_length_b 6.5820
_cell_length_c 6.5820
_cell_angle_alpha 99.67
_cell_angle_beta 74.58
_cell_angle_gamma 74.58
loop_
_atom_site_label
_atom_site_type_symbol
_atom_site_fract_x
_atom_site_fract_y
_atom_site_fract_z
Al1 Al 0.3471 0.7211 0.5410
Al2 Al 0.1529 0.4590 0.2789
Al3 Al 0.6529 0.2789 0.4590
Al4 Al 0.8471 0.5410 0.7211
V1 V 0.2500 0.9020 0.0980
V2 V 0.7500 0.0980 0.9020
B1 B 0.2500 0.1752 0.8248
B2 B 0.7500 0.8248 0.1752
O1 O 0.1884 0.9605 0.7989
O2 O 0.3116 0.2011 0.0395
O3 O 0.8116 0.0395 0.2011
O4 O 0.6884 0.7989 0.9605
O5 O 0.4728 0.8481 0.3286
O6 O 0.0272 0.6714 0.1519
O7 O 0.5272 0.1519 0.6714
O8 O 0.9728 0.3286 0.8481
O9 O 0.0095 0.6929 0.5582
O10 O 0.4905 0.4418 0.3071
O11 O 0.9905 0.3071 0.4418
O12 O 0.5095 0.5582 0.6929
```